[1]
DFT (PBE) results for a relaxed HfBeP2 crystal.

Properties
As for the magnetization: 0.0 μB/f.u. Its formation energy is -0.334 eV/atom.

```
data_HfBeP2
_chemical_formula_sum 'Hf3 Be3 P6'
_symmetry_space_group_name_H-M 'R -3 m'
_symmetry_Int_Tables_number 166
_symmetry_space_group_name_Hall '-R 3 2"'
_cell_length_a 3.8366
_cell_length_b 3.8366
_cell_length_c 20.5034
_cell_angle_alpha 90.00
_cell_angle_beta 90.00
_cell_angle_gamma 120.00
loop_
_atom_site_label
_atom_site_fract_x
_atom_site_fract_y
_atom_site_fract_z
Hf1 0.0000 0.0000 0.0000
Be1 0.0000 0.0000 0.5000
P1 0.0000 0.0000 0.4031
```

[2]
DFT (PBE) results for a relaxed Pm2TlPdO5 crystal.

Properties
As for the magnetization: 0.9 μB/f.u. As for the calculated total energy: -120.41 eV for the cell shown.

```
data_Pm2TlPdO5
_chemical_formula_sum 'Pm4 Tl2 Pd2 O10'
_symmetry_space_group_name_H-M 'P 4/m b m'
_symmetry_Int_Tables_number 127
_symmetry_space_group_name_Hall '-P 4 2ab'
_cell_length_a 6.839
_cell_length_b 6.839
_cell_length_c 5.859
_cell_angle_alpha 90.00
_cell_angle_beta 90.00
_cell_angle_gamma 90.00
loop_
_atom_site_label
_atom_site_fract_x
_atom_site_fract_y
_atom_site_fract_z
Pm1 0.174 0.326 0.000
Tl1 0.000 0.000 0.500
Pd1 0.000 0.500 0.500
O1 0.000 0.000 0.000
O2 0.134 0.634 0.239
```